VASP calculation (PBE-GGA) on a geometry-optimized SbTe2RhCl structure.

Unit cell a=5.3607 b=5.3607 c=5.1155 alpha=90.00 beta=90.00 gamma=90.00
Each line ends with the local moment (μB).
Element x y z (fractional)
Cl (0.0000, 0.0000, 0.0000)  0.03
Sb (0.0000, 0.0000, 0.5000)  -0.02
Rh (0.5000, 0.5000, 0.5000)  0.97
Te (0.0000, 0.5000, 0.0000)  0.12
Te (0.5000, 0.0000, 0.0000)  0.12

- V (Å³/cell) = 147.0
- total magnetic moment (μB per formula unit) = 1.39
- crystal system = tetragonal
- space-group type = P4/mmm (123)
- relative energy among the computed polymorphs (kJ/mol of atoms) = 91.43
- D(E_F) (states/eV per cell) = 6.9
- E_form (uncorrected) (kcal/mol of atoms) = 27.85